(A)
VASP calculation (PBE-GGA) on a geometry-optimized YTm2Se4 structure.

abc: 3.9399 13.2811 13.6818
angles: 90.00 90.00 90.00
Space group Cmcm (No. 63)
Unique sites:
Y 0.0000 0.1267 0.2500 [4 per cell]
Tm 0.0000 0.3697 0.0694 [8 per cell]
Se 0.0000 0.0000 0.0000 [4 per cell]
Se 0.0000 0.2758 0.6207 [8 per cell]
Se 0.0000 0.4676 0.2500 [4 per cell]

***

(B)
VASP calculation (PBE-GGA) on a geometry-optimized YTm2Se4 structure.

abc: 8.0774 8.1460 11.2698
angles: 90.00 90.00 90.00
Space group Imma (No. 74)
Unique sites:
Y 0.0000 0.0000 0.0000 [4 per cell]
Tm 0.0000 0.0000 0.5000 [4 per cell]
Tm 0.2500 0.2500 0.2500 [4 per cell]
Se 0.0000 0.0053 0.2518 [8 per cell]
Se 0.2463 0.2500 0.5045 [8 per cell]

***

(B) wins, 0.050 eV/atom ahead of the next structure.

***

(A)
VASP calculation (PBE-GGA) on a geometry-optimized Y2TmSe structure.

abc: 3.7192 3.7192 30.6329
angles: 90.00 90.00 120.00
Space group R-3m (No. 166, hexagonal axes)
Unique sites:
Y 0.0000 0.0000 0.1079 [6 per cell]
Tm 0.0000 0.0000 0.0000 [3 per cell]
Se 0.0000 0.0000 0.5000 [3 per cell]

***

(B)
VASP calculation (PBE-GGA) on a geometry-optimized Y2TmSe structure.

abc: 3.6059 3.6059 8.3975
angles: 90.00 90.00 90.00
Space group P4/mmm (No. 123)
Unique sites:
Y 0.0000 0.0000 0.2106 [2 per cell]
Tm 0.5000 0.5000 0.5000 [1 per cell]
Se 0.5000 0.5000 0.0000 [1 per cell]

***

(C)
VASP calculation (PBE-GGA) on a geometry-optimized Y2TmSe structure.

abc: 3.7970 3.7970 27.9076
angles: 90.00 90.00 120.00
Space group R3m (No. 160, hexagonal axes)
Unique sites:
Y 0.0000 0.0000 0.0000 [3 per cell]
Y 0.0000 0.0000 0.2007 [3 per cell]
Tm 0.0000 0.0000 0.7676 [3 per cell]
Se 0.0000 0.0000 0.6005 [3 per cell]

***

(C) wins, 0.135 eV/atom ahead of the next structure.

***

(A)
VASP calculation (PBE-GGA) on a geometry-optimized YTm2Se structure.

abc: 3.6478 3.6478 30.9475
angles: 90.00 90.00 120.00
Space group R-3m (No. 166, hexagonal axes)
Unique sites:
Y 0.0000 0.0000 0.0000 [3 per cell]
Tm 0.0000 0.0000 0.1082 [6 per cell]
Se 0.0000 0.0000 0.5000 [3 per cell]

***

(B)
VASP calculation (PBE-GGA) on a geometry-optimized YTm2Se structure.

abc: 3.7476 3.7476 27.9716
angles: 90.00 90.00 120.00
Space group R3m (No. 160, hexagonal axes)
Unique sites:
Y 0.0000 0.0000 0.0000 [3 per cell]
Tm 0.0000 0.0000 0.5667 [3 per cell]
Tm 0.0000 0.0000 0.7679 [3 per cell]
Se 0.0000 0.0000 0.1670 [3 per cell]

***

(B) wins, 0.286 eV/atom ahead of the next structure.